Computed, not measured: an optimized crystal structure of Li2HoGaPd4 at the PBE level of DFT.

Output
As for the total magnetization: 0.00 μB/cell. For the total energy, the calculation gives -37.7 eV per cell. The calculated formation energy is -0.682 eV/atom. Its calculated volume is 127.7 Å³/f.u.

Lattice parameters (Å, degrees): 4.449 4.449 7.879 73.60 73.60 60.00
Atoms (fractional coordinates):
Ga (0.500, 0.500, 0.500)
Pd (0.129, 0.129, 0.612)
Pd (0.387, 0.387, 0.839)
Pd (0.871, 0.871, 0.388)
Pd (0.613, 0.613, 0.161)
Ho (0.000, 0.000, 0.000)
Li (0.754, 0.754, 0.737)
Li (0.246, 0.246, 0.263)